[1]
# SCAN Y2ZrMo, single point on PBEsol structure
# Excess energy over the best structure of this formula in the dataset in meV per atom: 39
data_Y2ZrMo
_space_group_name_H-M_alt 'P 4/m m m'
_space_group_IT_number 123
_space_group_name_Hall '-P 4 2'
_cell_length_a 4.257
_cell_length_b 4.257
_cell_length_c 4.967
_cell_angle_alpha 90.00
_cell_angle_beta 90.00
_cell_angle_gamma 90.00
loop_
_atom_site_label
_atom_site_fract_x
_atom_site_fract_y
_atom_site_fract_z
_atom_site_occupancy
Y1 0.000 0.500 0.000 1
Zr1 0.000 0.000 0.500 1
Mo1 0.500 0.500 0.500 1

[2]
The following is a SCAN calculation of ZrBC2 at its PBEsol-relaxed geometry, from Alexandria via LeMat-Bulk.

Structure (CIF):
```
data_ZrBC2
_space_group_name_H-M_alt 'I -4 2 d'
_space_group_IT_number 122
_space_group_name_Hall 'I -4 2bw'
_cell_length_a 5.189
_cell_length_b 5.189
_cell_length_c 5.506
_cell_angle_alpha 90.00
_cell_angle_beta 90.00
_cell_angle_gamma 90.00
loop_
_atom_site_label
_atom_site_fract_x
_atom_site_fract_y
_atom_site_fract_z
_atom_site_occupancy
Zr1 0.000 0.000 0.000 1
B1 0.000 0.000 0.500 1
C1 0.154 0.250 0.625 1
```

[3]
The following is a SCAN calculation of ZrNi4Pt at its PBEsol-relaxed geometry, from Alexandria via LeMat-Bulk.

Structure (CIF):
```
data_ZrNi4Pt
_space_group_name_H-M_alt 'F -4 3 m'
_space_group_IT_number 216
_space_group_name_Hall 'F -4 2 3'
_cell_length_a 6.691
_cell_length_b 6.691
_cell_length_c 6.691
_cell_angle_alpha 90.00
_cell_angle_beta 90.00
_cell_angle_gamma 90.00
loop_
_atom_site_label
_atom_site_fract_x
_atom_site_fract_y
_atom_site_fract_z
_atom_site_occupancy
Zr1 0.000 0.000 0.000 1
Ni1 0.124 0.124 0.624 1
Pt1 0.250 0.250 0.250 1
```

Number 1: formation energy from the elements 0.40 eV/atom. Number 2: formation energy from the elements 0.08 eV/atom. Number 3: formation energy from the elements -0.53 eV/atom.